VASP calculation (SCAN) on BeZn2Br at its PBEsol-relaxed geometry.

Cell and atoms, written as extended XYZ:
```
4
Lattice="3.357 0.000 0.000 0.000 3.647 0.000 0.000 0.000 5.797" Properties=species:S:1:pos:R:3 pbc="T T T"
Be 0.000 0.000 0.000
Zn 0.000 1.823 2.899
Zn 1.678 0.000 2.899
Br 1.678 1.823 0.000
```

Density: 5.1 g cm⁻³
Electronic total energy: -48.8 eV/cell
E_form (uncorrected): 2.05 eV per formula unit
Energy above the most stable polymorph in this dataset: 0.307 eV/atom